i:
Density functional theory data (SCAN) for AlIrPt3 at its PBEsol-relaxed geometry.

Structure (CIF):
```
data_AlIrPt3
_chemical_formula_sum 'Al1 Ir1 Pt3'
_space_group_name_H-M_alt 'P 1'
_space_group_IT_number 1
_cell_length_a 4.7719
_cell_length_b 4.7719
_cell_length_c 4.7719
_cell_angle_alpha 90.00
_cell_angle_beta 90.00
_cell_angle_gamma 90.00
loop_
_space_group_symop_operation_xyz
'x,y,z'
loop_
_atom_site_label
_atom_site_type_symbol
_atom_site_fract_x
_atom_site_fract_y
_atom_site_fract_z
Ir1 Ir 0.0000 0.0000 0.0000
Al1 Al 0.5000 0.5000 0.5000
Pt1 Pt 0.0000 0.5000 0.0000
Pt2 Pt 0.0000 0.0000 0.5000
Pt3 Pt 0.5000 0.0000 0.0000
```

D(E_F): 6.48 states/eV/f.u.
spin magnetization: 0.0 μB/cell
theoretical density: 12.3 Mg/m³

ii:
Density functional theory data (SCAN) for AlIrPt3 at its PBEsol-relaxed geometry.

Structure (CIF):
```
data_AlIrPt3
_chemical_formula_sum 'Al1 Ir1 Pt3'
_space_group_name_H-M_alt 'P 1'
_space_group_IT_number 1
_cell_length_a 4.4058
_cell_length_b 4.4058
_cell_length_c 4.4058
_cell_angle_alpha 90.00
_cell_angle_beta 90.00
_cell_angle_gamma 90.00
loop_
_space_group_symop_operation_xyz
'x,y,z'
loop_
_atom_site_label
_atom_site_type_symbol
_atom_site_fract_x
_atom_site_fract_y
_atom_site_fract_z
Ir1 Ir 0.5000 0.5000 0.5000
Al1 Al 0.0000 0.0000 0.0000
Pt1 Pt 0.0000 0.5000 0.0000
Pt2 Pt 0.0000 0.0000 0.5000
Pt3 Pt 0.5000 0.0000 0.0000
```

D(E_F): 4.42 states/eV/f.u.
spin magnetization: 0.0 μB/cell
theoretical density: 15.6 Mg/m³

Relative energies, meV per atom: i 338; ii 0.

i:
Density functional theory data (SCAN) for Al2TcIr at its PBEsol-relaxed geometry.

Structure (CIF):
```
data_Al2TcIr
_chemical_formula_sum 'Al2 Tc1 Ir1'
_space_group_name_H-M_alt 'P 1'
_space_group_IT_number 1
_cell_length_a 2.8045
_cell_length_b 2.8045
_cell_length_c 8.4422
_cell_angle_alpha 80.44
_cell_angle_beta 80.44
_cell_angle_gamma 60.00
loop_
_space_group_symop_operation_xyz
'x,y,z'
loop_
_atom_site_label
_atom_site_type_symbol
_atom_site_fract_x
_atom_site_fract_y
_atom_site_fract_z
Ir1 Ir 0.5000 0.5000 0.5000
Tc1 Tc 0.0000 0.0000 0.0000
Al1 Al 0.2486 0.2486 0.2543
Al2 Al 0.7514 0.7514 0.7457
```

D(E_F): 3.74 states/eV/f.u.
spin magnetization: 0.0 μB/cell
theoretical density: 10.1 Mg/m³

ii:
Density functional theory data (SCAN) for Al2TcIr at its PBEsol-relaxed geometry.

Structure (CIF):
```
data_Al2TcIr
_chemical_formula_sum 'Al2 Tc1 Ir1'
_space_group_name_H-M_alt 'P 1'
_space_group_IT_number 1
_cell_length_a 2.7608
_cell_length_b 4.3550
_cell_length_c 5.0108
_cell_angle_alpha 99.36
_cell_angle_beta 90.00
_cell_angle_gamma 108.48
loop_
_space_group_symop_operation_xyz
'x,y,z'
loop_
_atom_site_label
_atom_site_type_symbol
_atom_site_fract_x
_atom_site_fract_y
_atom_site_fract_z
Ir1 Ir 0.0000 0.0000 0.5000
Tc1 Tc 0.5000 0.0000 0.0000
Al1 Al 0.7471 0.4942 0.7446
Al2 Al 0.2529 0.5058 0.2554
```

D(E_F): 2.19 states/eV/f.u.
spin magnetization: 0.0 μB/cell
theoretical density: 10.2 Mg/m³

Relative energies, meV per atom: i 70; ii 0.

i:
Density functional theory data (SCAN) for Al2TcIr at its PBEsol-relaxed geometry.

Structure (CIF):
```
data_Al2TcIr
_chemical_formula_sum 'Al4 Tc2 Ir2'
_space_group_name_H-M_alt 'P 1'
_space_group_IT_number 1
_cell_length_a 5.4821
_cell_length_b 5.4821
_cell_length_c 5.4821
_cell_angle_alpha 104.15
_cell_angle_beta 104.15
_cell_angle_gamma 120.73
loop_
_space_group_symop_operation_xyz
'x,y,z'
loop_
_atom_site_label
_atom_site_type_symbol
_atom_site_fract_x
_atom_site_fract_y
_atom_site_fract_z
Ir1 Ir 0.0000 0.0000 0.0000
Ir2 Ir 0.2500 0.7500 0.5000
Tc1 Tc 0.5000 0.5000 0.0000
Tc2 Tc 0.7500 0.2500 0.5000
Al1 Al 0.8893 0.8750 0.5143
Al2 Al 0.3607 0.3750 0.4857
Al3 Al 0.1250 0.6393 0.0143
Al4 Al 0.6250 0.1107 0.9857
```

D(E_F): 2.54 states/eV/f.u.
spin magnetization: 3.9 μB/cell
theoretical density: 9.3 Mg/m³

ii:
Density functional theory data (SCAN) for Al2TcIr at its PBEsol-relaxed geometry.

Structure (CIF):
```
data_Al2TcIr
_chemical_formula_sum 'Al2 Tc1 Ir1'
_space_group_name_H-M_alt 'P 1'
_space_group_IT_number 1
_cell_length_a 4.2425
_cell_length_b 4.2425
_cell_length_c 4.2425
_cell_angle_alpha 60.00
_cell_angle_beta 60.00
_cell_angle_gamma 60.00
loop_
_space_group_symop_operation_xyz
'x,y,z'
loop_
_atom_site_label
_atom_site_type_symbol
_atom_site_fract_x
_atom_site_fract_y
_atom_site_fract_z
Ir1 Ir 0.0000 0.0000 0.0000
Tc1 Tc 0.5000 0.5000 0.5000
Al1 Al 0.2500 0.2500 0.2500
Al2 Al 0.7500 0.7500 0.7500
```

D(E_F): 3.44 states/eV/f.u.
spin magnetization: 0.0 μB/cell
theoretical density: 10.6 Mg/m³

iii:
Density functional theory data (SCAN) for Al2TcIr at its PBEsol-relaxed geometry.

Structure (CIF):
```
data_Al2TcIr
_chemical_formula_sum 'Al2 Tc1 Ir1'
_space_group_name_H-M_alt 'P 1'
_space_group_IT_number 1
_cell_length_a 2.9110
_cell_length_b 4.3110
_cell_length_c 4.3110
_cell_angle_alpha 90.00
_cell_angle_beta 90.00
_cell_angle_gamma 90.00
loop_
_space_group_symop_operation_xyz
'x,y,z'
loop_
_atom_site_label
_atom_site_type_symbol
_atom_site_fract_x
_atom_site_fract_y
_atom_site_fract_z
Ir1 Ir 0.5000 0.5000 0.5000
Tc1 Tc 0.5000 0.0000 0.0000
Al1 Al 0.0000 0.0000 0.5000
Al2 Al 0.0000 0.5000 0.0000
```

D(E_F): 2.70 states/eV/f.u.
spin magnetization: 0.0 μB/cell
theoretical density: 10.6 Mg/m³

Relative energies, meV per atom: i 885; ii 0; iii 6.

i:
Density functional theory data (SCAN) for AlTlIr2 at its PBEsol-relaxed geometry.

Structure (CIF):
```
data_AlTlIr2
_chemical_formula_sum 'Al1 Tl1 Ir2'
_space_group_name_H-M_alt 'P 1'
_space_group_IT_number 1
_cell_length_a 2.8680
_cell_length_b 3.8838
_cell_length_c 5.8453
_cell_angle_alpha 90.00
_cell_angle_beta 90.00
_cell_angle_gamma 90.00
loop_
_space_group_symop_operation_xyz
'x,y,z'
loop_
_atom_site_label
_atom_site_type_symbol
_atom_site_fract_x
_atom_site_fract_y
_atom_site_fract_z
Tl1 Tl 0.0000 0.0000 0.4781
Ir1 Ir 0.0000 0.0000 0.9601
Ir2 Ir 0.5000 0.5000 0.2439
Al1 Al 0.5000 0.5000 0.8180
```

D(E_F): 2.20 states/eV/f.u.
spin magnetization: 0.0 μB/cell
theoretical density: 15.7 Mg/m³

ii:
Density functional theory data (SCAN) for AlTlIr2 at its PBEsol-relaxed geometry.

Structure (CIF):
```
data_AlTlIr2
_chemical_formula_sum 'Al1 Tl1 Ir2'
_space_group_name_H-M_alt 'P 1'
_space_group_IT_number 1
_cell_length_a 3.8643
_cell_length_b 3.8643
_cell_length_c 5.0378
_cell_angle_alpha 112.55
_cell_angle_beta 112.55
_cell_angle_gamma 90.00
loop_
_space_group_symop_operation_xyz
'x,y,z'
loop_
_atom_site_label
_atom_site_type_symbol
_atom_site_fract_x
_atom_site_fract_y
_atom_site_fract_z
Tl1 Tl 0.5000 0.5000 0.0000
Ir1 Ir 0.0000 0.0000 0.0000
Ir2 Ir 0.7500 0.2500 0.5000
Al1 Al 0.2500 0.7500 0.5000
```

D(E_F): 3.04 states/eV/f.u.
spin magnetization: 0.0 μB/cell
theoretical density: 16.2 Mg/m³

Relative energies, meV per atom: i 0; ii 126.

i:
Density functional theory data (SCAN) for K3Al at its PBEsol-relaxed geometry.

Structure (CIF):
```
data_K3Al
_chemical_formula_sum 'K3 Al1'
_space_group_name_H-M_alt 'P 1'
_space_group_IT_number 1
_cell_length_a 5.6324
_cell_length_b 5.6324
_cell_length_c 6.7912
_cell_angle_alpha 114.50
_cell_angle_beta 114.50
_cell_angle_gamma 90.00
loop_
_space_group_symop_operation_xyz
'x,y,z'
loop_
_atom_site_label
_atom_site_type_symbol
_atom_site_fract_x
_atom_site_fract_y
_atom_site_fract_z
K1 K 0.7500 0.2500 0.5000
K2 K 0.5000 0.5000 0.0000
K3 K 0.2500 0.7500 0.5000
Al1 Al 0.0000 0.0000 0.0000
```

D(E_F): 2.49 states/eV/f.u.
spin magnetization: 0.9 μB/cell
theoretical density: 1.4 Mg/m³

ii:
Density functional theory data (SCAN) for K3Al at its PBEsol-relaxed geometry.

Structure (CIF):
```
data_K3Al
_chemical_formula_sum 'K6 Al2'
_space_group_name_H-M_alt 'P 1'
_space_group_IT_number 1
_cell_length_a 6.4376
_cell_length_b 8.0310
_cell_length_c 8.0310
_cell_angle_alpha 120.00
_cell_angle_beta 90.00
_cell_angle_gamma 90.00
loop_
_space_group_symop_operation_xyz
'x,y,z'
loop_
_atom_site_label
_atom_site_type_symbol
_atom_site_fract_x
_atom_site_fract_y
_atom_site_fract_z
Al1 Al 0.7500 0.6667 0.3333
Al2 Al 0.2500 0.3333 0.6667
K1 K 0.7500 0.1794 0.8206
K2 K 0.7500 0.6412 0.8206
K3 K 0.7500 0.1794 0.3588
K4 K 0.2500 0.8206 0.1794
K5 K 0.2500 0.3588 0.1794
K6 K 0.2500 0.8206 0.6412
```

D(E_F): 3.01 states/eV/f.u.
spin magnetization: 0.1 μB/cell
theoretical density: 1.3 Mg/m³

Relative energies, meV per atom: i 0; ii 9.

i:
Density functional theory data (SCAN) for KLiAl2 at its PBEsol-relaxed geometry.

Structure (CIF):
```
data_KLiAl2
_chemical_formula_sum 'K1 Li1 Al2'
_space_group_name_H-M_alt 'P 1'
_space_group_IT_number 1
_cell_length_a 3.2443
_cell_length_b 3.2443
_cell_length_c 8.4013
_cell_angle_alpha 90.00
_cell_angle_beta 90.00
_cell_angle_gamma 90.00
loop_
_space_group_symop_operation_xyz
'x,y,z'
loop_
_atom_site_label
_atom_site_type_symbol
_atom_site_fract_x
_atom_site_fract_y
_atom_site_fract_z
K1 K 0.5000 0.5000 0.0000
Al1 Al 0.0000 0.0000 0.6741
Al2 Al 0.0000 0.0000 0.3259
Li1 Li 0.5000 0.5000 0.5000
```

D(E_F): 1.41 states/eV/f.u.
spin magnetization: 0.0 μB/cell
theoretical density: 1.9 Mg/m³

ii:
Density functional theory data (SCAN) for KLiAl2 at its PBEsol-relaxed geometry.

Structure (CIF):
```
data_KLiAl2
_chemical_formula_sum 'K2 Li2 Al4'
_space_group_name_H-M_alt 'P 1'
_space_group_IT_number 1
_cell_length_a 4.8364
_cell_length_b 4.8364
_cell_length_c 10.8279
_cell_angle_alpha 102.90
_cell_angle_beta 102.90
_cell_angle_gamma 90.00
loop_
_space_group_symop_operation_xyz
'x,y,z'
loop_
_atom_site_label
_atom_site_type_symbol
_atom_site_fract_x
_atom_site_fract_y
_atom_site_fract_z
K1 K 0.2500 0.7500 0.5000
K2 K 0.0000 0.0000 0.0000
Al1 Al 0.7030 0.8750 0.2500
Al2 Al 0.5470 0.3750 0.2500
Al3 Al 0.1250 0.4530 0.7500
Al4 Al 0.6250 0.2970 0.7500
Li1 Li 0.7500 0.2500 0.5000
Li2 Li 0.5000 0.5000 0.0000
```

D(E_F): 1.55 states/eV/f.u.
spin magnetization: 0.0 μB/cell
theoretical density: 1.4 Mg/m³

iii:
Density functional theory data (SCAN) for KLiAl2 at its PBEsol-relaxed geometry.

Structure (CIF):
```
data_KLiAl2
_chemical_formula_sum 'K1 Li1 Al2'
_space_group_name_H-M_alt 'P 1'
_space_group_IT_number 1
_cell_length_a 5.1206
_cell_length_b 5.1206
_cell_length_c 5.1206
_cell_angle_alpha 60.00
_cell_angle_beta 60.00
_cell_angle_gamma 60.00
loop_
_space_group_symop_operation_xyz
'x,y,z'
loop_
_atom_site_label
_atom_site_type_symbol
_atom_site_fract_x
_atom_site_fract_y
_atom_site_fract_z
K1 K 0.0000 0.0000 0.0000
Al1 Al 0.2500 0.2500 0.2500
Al2 Al 0.7500 0.7500 0.7500
Li1 Li 0.5000 0.5000 0.5000
```

D(E_F): 2.56 states/eV/f.u.
spin magnetization: 0.0 μB/cell
theoretical density: 1.7 Mg/m³

Relative energies, meV per atom: i 0; ii 151; iii 303.

i:
Density functional theory data (SCAN) for KLi3Al at its PBEsol-relaxed geometry.

Structure (CIF):
```
data_KLi3Al
_chemical_formula_sum 'K1 Li3 Al1'
_space_group_name_H-M_alt 'P 1'
_space_group_IT_number 1
_cell_length_a 5.2859
_cell_length_b 5.2859
_cell_length_c 5.2859
_cell_angle_alpha 90.00
_cell_angle_beta 90.00
_cell_angle_gamma 90.00
loop_
_space_group_symop_operation_xyz
'x,y,z'
loop_
_atom_site_label
_atom_site_type_symbol
_atom_site_fract_x
_atom_site_fract_y
_atom_site_fract_z
K1 K 0.5000 0.5000 0.5000
Al1 Al 0.0000 0.0000 0.0000
Li1 Li 0.0000 0.5000 0.0000
Li2 Li 0.0000 0.0000 0.5000
Li3 Li 0.5000 0.0000 0.0000
```

D(E_F): 2.08 states/eV/f.u.
spin magnetization: 0.9 μB/cell
theoretical density: 1.0 Mg/m³

ii:
Density functional theory data (SCAN) for KLi3Al at its PBEsol-relaxed geometry.

Structure (CIF):
```
data_KLi3Al
_chemical_formula_sum 'K1 Li3 Al1'
_space_group_name_H-M_alt 'P 1'
_space_group_IT_number 1
_cell_length_a 5.0376
_cell_length_b 5.0376
_cell_length_c 5.0376
_cell_angle_alpha 90.00
_cell_angle_beta 90.00
_cell_angle_gamma 90.00
loop_
_space_group_symop_operation_xyz
'x,y,z'
loop_
_atom_site_label
_atom_site_type_symbol
_atom_site_fract_x
_atom_site_fract_y
_atom_site_fract_z
K1 K 0.0000 0.0000 0.0000
Al1 Al 0.5000 0.5000 0.5000
Li1 Li 0.0000 0.5000 0.0000
Li2 Li 0.0000 0.0000 0.5000
Li3 Li 0.5000 0.0000 0.0000
```

D(E_F): 2.67 states/eV/f.u.
spin magnetization: 0.0 μB/cell
theoretical density: 1.1 Mg/m³

Relative energies, meV per atom: i 0; ii 717.

i:
Density functional theory data (SCAN) for KMnAl2 at its PBEsol-relaxed geometry.

Structure (CIF):
```
data_KMnAl2
_chemical_formula_sum 'K1 Mn1 Al2'
_space_group_name_H-M_alt 'P 1'
_space_group_IT_number 1
_cell_length_a 4.8347
_cell_length_b 4.8347
_cell_length_c 4.8347
_cell_angle_alpha 60.00
_cell_angle_beta 60.00
_cell_angle_gamma 60.00
loop_
_space_group_symop_operation_xyz
'x,y,z'
loop_
_atom_site_label
_atom_site_type_symbol
_atom_site_fract_x
_atom_site_fract_y
_atom_site_fract_z
K1 K 0.0000 0.0000 0.0000
Mn1 Mn 0.5000 0.5000 0.5000
Al1 Al 0.2500 0.2500 0.2500
Al2 Al 0.7500 0.7500 0.7500
```

D(E_F): 1.58 states/eV/f.u.
spin magnetization: 3.9 μB/cell
theoretical density: 3.1 Mg/m³

ii:
Density functional theory data (SCAN) for KMnAl2 at its PBEsol-relaxed geometry.

Structure (CIF):
```
data_KMnAl2
_chemical_formula_sum 'K2 Mn2 Al4'
_space_group_name_H-M_alt 'P 1'
_space_group_IT_number 1
_cell_length_a 5.2801
_cell_length_b 5.2801
_cell_length_c 9.3340
_cell_angle_alpha 106.43
_cell_angle_beta 106.43
_cell_angle_gamma 90.00
loop_
_space_group_symop_operation_xyz
'x,y,z'
loop_
_atom_site_label
_atom_site_type_symbol
_atom_site_fract_x
_atom_site_fract_y
_atom_site_fract_z
K1 K 0.5000 0.5000 0.0000
K2 K 0.7500 0.2500 0.5000
Mn1 Mn 0.0000 0.0000 0.0000
Mn2 Mn 0.2500 0.7500 0.5000
Al1 Al 0.6250 0.8750 0.7500
Al2 Al 0.1250 0.8750 0.7500
Al3 Al 0.1250 0.8750 0.2500
Al4 Al 0.1250 0.3750 0.2500
```

D(E_F): 2.89 states/eV/f.u.
spin magnetization: 7.3 μB/cell
theoretical density: 2.1 Mg/m³

Relative energies, meV per atom: i 15; ii 0.